Record 1
A relaxed Ac6ScTe8 crystal. Source: Alexandria via LeMat-Bulk, functional PBE.

Values from the calculation:
Final energy = -77.36 eV per cell
Magnetization = 0.00 μB/atom
E_form (uncorrected) = -1.416 eV per atom
Space-group type = R-3 (148)

a = 8.7063 Å, b = 8.7063 Å, c = 8.7063 Å
α = 67.92°, β = 67.92°, γ = 67.92°
With the nearest neighbours (Å) after each atom.
Positions (direct):
Te (0.9138, 0.1734, 0.6573)  1 Sc 3.03, 3 Ac 3.28-3.37
Te (0.1734, 0.6573, 0.9138)  1 Sc 3.03, 3 Ac 3.28-3.37
Te (0.0862, 0.8266, 0.3427)  1 Sc 3.03, 3 Ac 3.28-3.37
Te (0.6737, 0.6737, 0.6737)  6 Ac 3.41-3.47
Te (0.3263, 0.3263, 0.3263)  6 Ac 3.41-3.47
Te (0.3427, 0.0862, 0.8266)  1 Sc 3.03, 3 Ac 3.28-3.37
Te (0.8266, 0.3427, 0.0862)  1 Sc 3.03, 3 Ac 3.28-3.37
Te (0.6573, 0.9138, 0.1734)  1 Sc 3.03, 3 Ac 3.28-3.37
Ac (0.3069, 0.9114, 0.5331)  7 Te 3.28-3.58
Ac (0.0886, 0.4669, 0.6931)  7 Te 3.28-3.58
Ac (0.9114, 0.5331, 0.3069)  7 Te 3.28-3.58
Ac (0.5331, 0.3069, 0.9114)  7 Te 3.28-3.58
Ac (0.6931, 0.0886, 0.4669)  7 Te 3.28-3.58
Ac (0.4669, 0.6931, 0.0886)  7 Te 3.28-3.58
Sc (0.0000, 0.0000, 0.0000)  6 Te 3.03

Record 2
A relaxed UIr2Pt crystal. Source: Alexandria via LeMat-Bulk, functional PBE.

Values from the calculation:
Energy of formation from the pure elements = -246 kJ/mol of formula units
Final energy = -37.60 eV per cell
Magnetization = 0.06 μB/atom
Space-group type = P4/mmm (123)

a = 3.9725 Å, b = 4.1298 Å, c = 4.1298 Å
α = 90.00°, β = 90.00°, γ = 90.00°
With the nearest neighbours (Å) after each atom.
Positions (direct):
Pt (0.5000, 0.0000, 0.0000)  8 Ir 2.87, 4 U 2.92
Ir (0.0000, 0.0000, 0.5000)  4 U 2.87, 4 Pt 2.87, 4 Ir 2.92
Ir (0.0000, 0.5000, 0.0000)  4 Pt 2.87, 4 U 2.87, 4 Ir 2.92
U (0.5000, 0.5000, 0.5000)  8 Ir 2.87, 4 Pt 2.92

Record 3
A relaxed RbTl2RhN crystal. Source: Alexandria via LeMat-Bulk, functional PBE.

Values from the calculation:
Final energy = -10.99 eV per cell
Magnetization = 0.42 μB/atom
E_form (uncorrected) = 2.078 eV per atom
Space-group type = P4/mmm (123)

a = 6.6347 Å, b = 4.9805 Å, c = 6.6347 Å
α = 90.00°, β = 90.00°, γ = 90.00°
With the nearest neighbours (Å) after each atom.
Positions (direct):
Tl (0.5000, 0.0000, 0.0000)  2 Rb 3.32
Tl (0.0000, 0.0000, 0.5000)  2 Rb 3.32
Rh (0.0000, 0.5000, 0.0000)  2 Rb 2.49
N (0.5000, 0.5000, 0.5000)  8 Tl 4.15
Rb (0.0000, 0.0000, 0.0000)  2 Rh 2.49

Record 4
A relaxed TbHoCd2 crystal. Source: Alexandria via LeMat-Bulk, functional PBE.

Values from the calculation:
Energy of formation from the pure elements = -123 kJ/mol of formula units
Final energy = -12.31 eV per cell
Magnetization = 0.00 μB/atom
Space-group type = P4/mmm (123)

a = 3.7717 Å, b = 5.2755 Å, c = 5.2755 Å
α = 90.00°, β = 90.00°, γ = 90.00°
With the nearest neighbours (Å) after each atom.
Positions (direct):
Cd (0.0000, 0.5000, 0.0000)  4 Tb 3.24, 4 Ho 3.24
Cd (0.0000, 0.0000, 0.5000)  4 Tb 3.24, 4 Ho 3.24
Ho (0.5000, 0.5000, 0.5000)  8 Cd 3.24
Tb (0.5000, 0.0000, 0.0000)  8 Cd 3.24

Record 5
A relaxed Ac12AlCo5 crystal. Source: Alexandria via LeMat-Bulk, functional PBE.

Values from the calculation:
Energy of formation from the pure elements = -54 kJ/mol of formula units
Final energy = -89.13 eV per cell
Magnetization = 0.00 μB/atom
Space-group type = Immm (71)

a = 9.1178 Å, b = 9.1178 Å, c = 9.1178 Å
α = 108.64°, β = 110.31°, γ = 109.47°
With the nearest neighbours (Å) after each atom.
Positions (direct):
Ac (0.1852, 0.9925, 0.8073)  2 Co 2.83-2.93
Ac (0.8148, 0.0075, 0.1927)  2 Co 2.83-2.93
Ac (0.4977, 0.1872, 0.3105)  2 Co 3.02
Ac (0.3112, 0.6799, 0.9912)  3 Co 2.98-3.01
Ac (0.6888, 0.6799, 0.3687)  3 Co 2.98-3.01
Ac (0.6888, 0.3201, 0.0088)  3 Co 2.98-3.01
Ac (0.3112, 0.3201, 0.6313)  3 Co 2.98-3.01
Ac (0.5023, 0.8128, 0.6895)  2 Co 3.02
Ac (0.8148, 0.6220, 0.8073)  2 Co 2.83-2.93
Ac (0.1852, 0.3780, 0.1927)  2 Co 2.83-2.93
Ac (0.8767, 0.1872, 0.6895)  2 Co 3.02
Ac (0.1233, 0.8128, 0.3105)  2 Co 3.02
Co (0.3836, 0.3836, 0.0000)  1 Co 2.45
Co (0.5000, 0.1097, 0.6097)  1 Co 2.33
Co (0.5000, 0.8903, 0.3903)  1 Co 2.33
Co (0.0000, 0.0000, 0.0000)  4 Ac 2.83
Co (0.6164, 0.6164, 0.0000)  1 Co 2.45
Al (0.0000, 0.5000, 0.5000)  12 Ac 3.77-3.84

Record 6
A relaxed HfCr3In crystal. Source: Alexandria via LeMat-Bulk, functional PBE.

Values from the calculation:
Energy of formation from the pure elements = 857 kJ/mol of formula units
Final energy = -32.68 eV per cell
Magnetization = 0.00 μB/atom
Space-group type = Pm-3m (221)

a = 4.5706 Å, b = 4.5706 Å, c = 4.5706 Å
α = 90.00°, β = 90.00°, γ = 90.00°
With the nearest neighbours (Å) after each atom.
Positions (direct):
Hf (0.0000, 0.0000, 0.0000)  6 Cr 2.29
Cr (0.0000, 0.5000, 0.0000)  2 Hf 2.29
Cr (0.5000, 0.0000, 0.0000)  2 Hf 2.29
Cr (0.0000, 0.0000, 0.5000)  2 Hf 2.29
In (0.5000, 0.5000, 0.5000)  12 Cr 3.23

Record 7
A relaxed Al2CdHg2 crystal. Source: Alexandria via LeMat-Bulk, functional PBE.

Values from the calculation:
Energy of formation from the pure elements = 92 kJ/mol of formula units
Final energy = -16.11 eV per cell
Magnetization = 0.00 μB/atom
Space-group type = P4/mbm (127)

a = 8.0876 Å, b = 8.0876 Å, c = 3.4150 Å
α = 90.00°, β = 90.00°, γ = 90.00°
With the nearest neighbours (Å) after each atom.
Positions (direct):
Al (0.6234, 0.8766, 0.5000)  1 Al 2.82, 6 Hg 2.86-2.99
Al (0.8766, 0.3766, 0.5000)  1 Al 2.82, 6 Hg 2.86-2.99
Al (0.1234, 0.6234, 0.5000)  1 Al 2.82, 6 Hg 2.86-2.99
Al (0.3766, 0.1234, 0.5000)  1 Al 2.82, 6 Hg 2.86-2.99
Hg (0.3240, 0.8240, 0.0000)  6 Al 2.86-2.99, 2 Cd 2.98
Hg (0.8240, 0.6760, 0.0000)  6 Al 2.86-2.99, 2 Cd 2.98
Hg (0.1760, 0.3240, 0.0000)  6 Al 2.86-2.99, 2 Cd 2.98
Hg (0.6760, 0.1760, 0.0000)  6 Al 2.86-2.99, 2 Cd 2.98
Cd (0.0000, 0.0000, 0.0000)  4 Hg 2.98
Cd (0.5000, 0.5000, 0.0000)  4 Hg 2.98

Record 8
A relaxed ZrVNi crystal. Source: Alexandria via LeMat-Bulk, functional PBE.

Values from the calculation:
Energy of formation from the pure elements = -20 kJ/mol of formula units
Final energy = -47.30 eV per cell
Magnetization = 0.00 μB/atom
Space-group type = P3m1 (156)

a = 4.3579 Å, b = 4.3579 Å, c = 5.7292 Å
α = 90.00°, β = 90.00°, γ = 120.00°
With the nearest neighbours (Å) after each atom.
Positions (direct):
V (0.3333, 0.6667, 0.9821)  4 Ni 2.60-2.62, 3 V 2.65
V (0.6667, 0.3333, 0.1295)  4 Zr 2.63-2.74, 3 V 2.65, 3 Ni 2.92
Zr (0.6667, 0.3333, 0.6707)  1 V 2.63, 6 Ni 2.76-2.84
Zr (0.0000, 0.0000, 0.3187)  4 Ni 2.58-2.61, 3 V 2.74
Ni (0.3333, 0.6667, 0.4396)  6 Zr 2.61-2.84, 1 V 2.62
Ni (0.0000, 0.0000, 0.8692)  4 Zr 2.58-2.76, 3 V 2.60

Record 9
A relaxed DyEr3Ir8 crystal. Source: Alexandria via LeMat-Bulk, functional PBE.

Values from the calculation:
Energy of formation from the pure elements = -960 kJ/mol of formula units
Final energy = -99.13 eV per cell
Magnetization = 0.00 μB/atom
Space-group type = P3m1 (156)

a = 5.3464 Å, b = 5.3464 Å, c = 8.6885 Å
α = 90.00°, β = 90.00°, γ = 120.00°
With the nearest neighbours (Å) after each atom.
Positions (direct):
Er (0.6667, 0.3333, 0.0668)  12 Ir 3.11-3.14, 4 Er 3.18-3.30
Er (0.0000, 0.0000, 0.9335)  12 Ir 3.11-3.14, 1 Dy 3.18, 3 Er 3.30
Er (0.6667, 0.3333, 0.4327)  12 Ir 3.11-3.15, 1 Er 3.18, 3 Dy 3.30
Ir (0.1633, 0.8367, 0.2496)  6 Ir 2.62-2.73
Ir (0.5035, 0.4965, 0.7505)  6 Ir 2.62-2.73
Ir (0.5035, 0.0069, 0.7505)  6 Ir 2.62-2.73
Ir (0.1633, 0.3265, 0.2496)  6 Ir 2.62-2.73
Ir (0.3333, 0.6667, 0.9999)  6 Ir 2.68
Ir (0.9931, 0.4965, 0.7505)  6 Ir 2.62-2.73
Ir (0.3333, 0.6667, 0.4998)  6 Ir 2.68-2.69
Ir (0.6735, 0.8367, 0.2496)  6 Ir 2.62-2.73
Dy (0.0000, 0.0000, 0.5672)  12 Ir 3.11-3.15, 4 Er 3.18-3.30

Record 10
A relaxed Dy5Co2 crystal. Source: Alexandria via LeMat-Bulk, functional PBE.

Values from the calculation:
Energy of formation from the pure elements = -120 kJ/mol of formula units
Final energy = -76.94 eV per cell
Magnetization = 0.00 μB/atom
Space-group type = C2/c (15)

a = 6.2851 Å, b = 6.9055 Å, c = 8.5788 Å
α = 96.27°, β = 111.49°, γ = 90.00°
With the nearest neighbours (Å) after each atom.
Positions (direct):
Dy (0.2159, 0.6849, 0.5691)  2 Co 2.72-2.83
Dy (0.0125, 0.0869, 0.8100)  2 Co 2.65-2.72
Dy (0.9875, 0.9131, 0.1900)  2 Co 2.65-2.72
Dy (0.7841, 0.3151, 0.4309)  2 Co 2.72-2.83
Dy (0.4303, 0.7500, 0.0000)  4 Co 2.83-2.89
Dy (0.5697, 0.2500, 0.0000)  4 Co 2.83-2.89
Dy (0.3533, 0.1849, 0.5691)  2 Co 2.72-2.83
Dy (0.7976, 0.5869, 0.8100)  2 Co 2.65-2.72
Dy (0.2024, 0.4131, 0.1900)  2 Co 2.65-2.72
Dy (0.6467, 0.8151, 0.4309)  2 Co 2.72-2.83
Co (0.6001, 0.9277, 0.7767)  6 Dy 2.65-2.89
Co (0.8234, 0.5723, 0.2233)  6 Dy 2.65-2.89
Co (0.1766, 0.4277, 0.7767)  6 Dy 2.65-2.89
Co (0.3999, 0.0723, 0.2233)  6 Dy 2.65-2.89

Record 11
A relaxed Tb2Nd2Ho5 crystal. Source: Alexandria via LeMat-Bulk, functional PBE.

Values from the calculation:
Energy of formation from the pure elements = 202 kJ/mol of formula units
Final energy = -39.59 eV per cell
Magnetization = 0.00 μB/atom
Space-group type = C2/m (12)

a = 3.4900 Å, b = 8.2218 Å, c = 12.5420 Å
α = 120.58°, β = 98.00°, γ = 90.00°
With the nearest neighbours (Å) after each atom.
Positions (direct):
Ho (0.6905, 0.8516, 0.3810)  1 Tb 3.19, 6 Ho 3.21-3.49, 1 Nd 3.50
Ho (0.0000, 0.0000, 0.0000)  4 Ho 3.27-3.49, 4 Tb 3.41
Ho (0.3095, 0.1484, 0.6190)  1 Tb 3.19, 6 Ho 3.21-3.49, 1 Nd 3.50
Ho (0.0966, 0.4588, 0.1932)  5 Ho 3.27-3.49, 4 Tb 3.53-3.57, 1 Nd 3.56
Ho (0.9034, 0.5412, 0.8068)  5 Ho 3.27-3.49, 4 Tb 3.53-3.57, 1 Nd 3.56
Nd (0.1821, 0.2194, 0.3641)  2 Nd 3.49, 4 Ho 3.50-3.59
Nd (0.8179, 0.7806, 0.6359)  2 Nd 3.49, 4 Ho 3.50-3.59
Tb (0.5469, 0.7383, 0.0938)  7 Ho 3.19-3.57, 3 Tb 3.38-3.49
Tb (0.4531, 0.2617, 0.9062)  7 Ho 3.19-3.57, 3 Tb 3.38-3.49

Record 12
A relaxed AsOs2Rh crystal. Source: Alexandria via LeMat-Bulk, functional PBE.

Values from the calculation:
Energy of formation from the pure elements = 142 kJ/mol of formula units
Final energy = -32.99 eV per cell
Magnetization = 0.00 μB/atom
Space-group type = R-3m (166)

a = 8.4845 Å, b = 8.4845 Å, c = 8.4845 Å
α = 19.30°, β = 19.30°, γ = 19.30°
With the nearest neighbours (Å) after each atom.
Positions (direct):
As (0.7500, 0.7500, 0.7500)  6 Os 2.57, 6 As 2.85
Os (0.4959, 0.4959, 0.4959)  3 As 2.57, 3 Rh 2.73, 6 Os 2.85
Os (0.0041, 0.0041, 0.0041)  3 As 2.57, 3 Rh 2.73, 6 Os 2.85
Rh (0.2500, 0.2500, 0.2500)  6 Os 2.73, 6 Rh 2.85

Record 13
A relaxed La3GaAg crystal. Source: Alexandria via LeMat-Bulk, functional PBE.

Values from the calculation:
Energy of formation from the pure elements = -155 kJ/mol of formula units
Final energy = -44.53 eV per cell
Magnetization = 0.04 μB/atom
Space-group type = Cmcm (63)

a = 5.4523 Å, b = 5.4574 Å, c = 10.1847 Å
α = 90.00°, β = 74.47°, γ = 90.00°
With the nearest neighbours (Å) after each atom.
Positions (direct):
La (0.0769, 0.7500, 0.4946)  4 Ag 3.29-3.36, 4 Ga 3.31-3.37, 2 La 3.61-3.69
La (0.7552, 0.2500, 0.1379)  2 Ga 3.18, 2 Ag 3.19
La (0.8932, 0.7500, 0.8621)  2 Ga 3.18, 2 Ag 3.19
La (0.5715, 0.2500, 0.5054)  4 Ag 3.29-3.36, 4 Ga 3.31-3.37, 2 La 3.61-3.69
La (0.2647, 0.7500, 0.1189)  2 Ga 3.28, 2 Ag 3.29, 2 La 3.59
La (0.3836, 0.2500, 0.8811)  2 Ga 3.28, 2 Ag 3.29, 2 La 3.59
Ga (0.1723, 0.2500, 0.3039)  8 La 3.18-3.37
Ga (0.4761, 0.7500, 0.6961)  8 La 3.18-3.37
Ag (0.9772, 0.2500, 0.6939)  8 La 3.19-3.36
Ag (0.6711, 0.7500, 0.3061)  8 La 3.19-3.36

Record 14
A relaxed K2BaZr crystal. Source: Alexandria via LeMat-Bulk, functional PBE.

Values from the calculation:
Energy of formation from the pure elements = 288 kJ/mol of formula units
Final energy = -9.68 eV per cell
Magnetization = 0.65 μB/atom
Space-group type = P2/m (10)

a = 7.2042 Å, b = 3.7212 Å, c = 6.8548 Å
α = 87.01°, β = 90.00°, γ = 90.00°
With the nearest neighbours (Å) after each atom.
Positions (direct):
K (0.0000, 0.9963, 0.0178)  4 K 3.59-3.79
K (0.0000, 0.5037, 0.4822)  4 K 3.59-3.79
Zr (0.5000, 0.2500, 0.2500)  2 Zr 3.72, 4 Ba 3.81-3.98, 4 K 4.07
Ba (0.5000, 0.7500, 0.7500)  2 Ba 3.72, 4 Zr 3.81-3.98, 4 K 4.17